Entry from the Alexandria database: a relaxed structure of CrCu2TeO8 (PBE+U).

Geometry as extended XYZ:
```
12
Lattice="-3.132 3.132 3.364 3.132 -3.132 3.364 3.132 3.132 -3.364" Properties=species:S:1:pos:R:3 pbc="T T T"
Cr 0.000 0.000 0.000
Cu 3.132 0.000 1.682
Cu 0.000 0.000 3.364
Te 0.000 3.132 1.682
O 1.954 0.000 0.199
O 4.310 0.000 0.199
O 3.132 1.962 -1.428
O 3.132 -1.178 3.165
O 0.000 1.170 1.936
O 3.132 1.178 3.165
O 1.962 3.132 1.428
O 1.170 0.000 4.791
```

size of the total moment = 0.16 μB/atom
uncorrected energy = -5.40 eV/atom